The following is a PBE-GGA calculation of a geometry-optimized DyEr3Pb2N2 structure, from OQMD via LeMat-Bulk.

Calculated values
- E: -51.2 eV per cell
- Space-group type: P3m1 (156)

Unit cell a=3.5209 b=3.5209 c=15.4732 alpha=90.00 beta=90.00 gamma=120.00
With the nearest neighbours (Å) after each atom.
Atoms (fractional coordinates):
Dy: 0.0000 0.0000 0.0000  3 N 2.43
Er: 0.0000 0.0000 0.6663  3 N 2.40
Er: 0.6667 0.3333 0.1671  3 N 2.39
Er: 0.6667 0.3333 0.5007  3 N 2.40
Pb: 0.0000 0.0000 0.3341  6 Er 3.28-3.29, 6 Pb 3.52
Pb: 0.6667 0.3333 0.8324  3 Er 3.28, 3 Dy 3.30, 6 Pb 3.52
N: 0.3333 0.6667 0.0860  3 Er 2.39, 3 Dy 2.43
N: 0.3333 0.6667 0.5835  6 Er 2.40

***

The following is a PBE-GGA calculation of a geometry-optimized DyErPbN structure, from OQMD via LeMat-Bulk.

Calculated values
- E: -51.2 eV per cell
- Space-group type: P-3m1 (164)

Unit cell a=3.5295 b=3.5295 c=15.5207 alpha=90.00 beta=90.00 gamma=120.00
With the nearest neighbours (Å) after each atom.
Atoms (fractional coordinates):
Dy: 0.3333 0.6667 0.4161  3 N 2.42
Dy: 0.6667 0.3333 0.5839  3 N 2.42
Er: 0.3333 0.6667 0.0825  3 N 2.41
Er: 0.6667 0.3333 0.9175  3 N 2.41
Pb: 0.3333 0.6667 0.7516  3 Er 3.28, 3 Dy 3.30, 6 Pb 3.53
Pb: 0.6667 0.3333 0.2484  3 Er 3.28, 3 Dy 3.30, 6 Pb 3.53
N: 0.0000 0.0000 0.0000  6 Er 2.41
N: 0.0000 0.0000 0.5000  6 Dy 2.42